An optimized crystal structure of Sc2B2Ir5Rh. Source: Alexandria via LeMat-Bulk, functional GGA-PBE.

For the total energy, the calculation gives -167.55 eV per cell. As for the space group: P4/mbm (127). Its formation energy is -0.610 eV/atom. The value obtained for the magnetic moment is 0.0 μB/f.u.

Cell: 9.3675 9.3675 3.1633 Å, 90.00 90.00 90.00°
Sites, in units of the cell vectors:
Sc 0.1772 0.3228 0.0000
Sc 0.3228 0.8228 0.0000
Sc 0.6772 0.1772 0.0000
Sc 0.8228 0.6772 0.0000
B 0.1232 0.6232 0.0000
B 0.3768 0.1232 0.0000
B 0.6232 0.8768 0.0000
B 0.8768 0.3768 0.0000
Ir 0.0000 0.5000 0.5000
Ir 0.0722 0.7789 0.5000
Ir 0.2211 0.0722 0.5000
Ir 0.2789 0.5722 0.5000
Ir 0.4278 0.2789 0.5000
Ir 0.5000 0.0000 0.5000
Ir 0.5722 0.7211 0.5000
Ir 0.7211 0.4278 0.5000
Ir 0.7789 0.9278 0.5000
Ir 0.9278 0.2211 0.5000
Rh 0.0000 0.0000 0.0000
Rh 0.5000 0.5000 0.0000